Crystalline TbPmTm3 at its relaxed geometry, computed with PBE-GGA.

a b c (Å): 5.6635 18.4799 6.0298
angles (deg): 90.00 90.00 90.00
Closest atoms and distances in Å follow each position.
Space group Cmc2_1 (No. 36)
Unique sites:
Tb 0.0000 0.0448 0.0000  2 Tb 3.44, 8 Tm 3.44-3.74, 2 Pm 3.46
Pm 0.0000 0.3563 0.6314  6 Tm 3.26-3.59, 2 Tb 3.46
Tm 0.0000 0.1479 0.5181  6 Tm 3.33-3.71, 3 Tb 3.48-3.66, 2 Pm 3.67
Tm 0.0000 0.2461 0.0543  3 Pm 3.26-3.44, 3 Tm 3.33-3.45
Tm 0.0000 0.4496 0.1429  3 Pm 3.41-3.59, 5 Tm 3.44-3.80, 4 Tb 3.44-3.56

Summary:
* total DFT energy (no corrections): -0.1646 hartree per atom
* energy of formation from the pure elements: 0.081 eV per atom
* relative energy among the computed polymorphs: 76.6 meV per atom
* crystal system: orthorhombic
* M_tot: 0.0 μB per formula unit
* ρ: 8.53 g/cm3

Crystalline YSc2Rh at its relaxed geometry, computed with PBE-GGA.

a b c (Å): 3.4552 5.0627 10.2893
angles (deg): 90.00 90.00 90.00
Closest atoms and distances in Å follow each position.
Space group Immm (No. 71)
Unique sites:
Y 0.0000 0.0000 0.0000  4 Rh 3.06, 4 Sc 3.28
Sc 0.0000 0.5000 0.2032  2 Rh 2.71
Rh 0.0000 0.0000 0.5000  4 Sc 2.71

Summary:
* total DFT energy (no corrections): -0.2614 hartree per atom
* energy of formation from the pure elements: -0.493 eV per atom
* relative energy among the computed polymorphs: 30.7 meV per atom
* crystal system: orthorhombic
* M_tot: 0.0 μB per formula unit
* ρ: 5.20 g/cm3

Crystalline NdY2ScP4 at its relaxed geometry, computed with PBE-GGA.

a b c (Å): 6.9131 4.0012 6.9233
angles (deg): 90.00 109.45 90.00
Closest atoms and distances in Å follow each position.
Space group P2/m (No. 10)
Unique sites:
Nd 0.0000 0.0000 0.0000  6 P 2.86
Y 0.0000 0.5000 0.5000  6 P 2.88
Y 0.5000 0.0000 0.5000  6 P 2.79
Sc 0.5000 0.5000 0.0000  6 P 2.77
P 0.2612 0.5000 0.2512  1 Sc 2.77, 3 Y 2.79-2.88, 2 Nd 2.86
P 0.2630 0.0000 0.7569  2 Sc 2.77, 3 Y 2.79-2.88, 1 Nd 2.86

Summary:
* total DFT energy (no corrections): -0.2659 hartree per atom
* energy of formation from the pure elements: -1.528 eV per atom
* crystal system: monoclinic
* M_tot: 0.0 μB per formula unit
* ρ: 4.51 g/cm3

Crystalline NaAcCd2Au4 at its relaxed geometry, computed with PBE-GGA.

a b c (Å): 4.8702 4.8702 27.2593
angles (deg): 90.00 90.00 120.00
Closest atoms and distances in Å follow each position.
Space group R-3m (No. 166, hexagonal axes)
Unique sites:
Na 0.0000 0.0000 0.0000  8 Au 2.89-3.09
Ac 0.0000 0.0000 0.5000  8 Au 3.26
Cd 0.0000 0.0000 0.2626  7 Au 2.88-3.21
Au 0.0000 0.0000 0.1060  1 Na 2.89, 3 Cd 2.97
Au 0.0000 0.0000 0.3805  4 Cd 2.88-3.21, 3 Na 3.09

Summary:
* total DFT energy (no corrections): -0.1104 hartree per atom
* energy of formation from the pure elements: -0.457 eV per atom
* crystal system: trigonal
* M_tot: 0.0 μB per formula unit
* ρ: 11.23 g/cm3